Below is an optimized crystal structure of AlRh2Au, with properties calculated at the GGA-PBEsol level.

Results
DFT formation energy, eV per atom: -0.20

Cell lengths 4.3512, 4.3512, 4.3512 Å; angles 60.00, 60.00, 60.00 degrees
Site moments in Bohr magnetons follow the coordinates.
Positions (direct):
Al 0.5000 0.5000 0.5000  0.00
Rh 0.7500 0.7500 0.7500  0.25
Rh 0.0000 0.0000 0.0000  0.25
Au 0.2500 0.2500 0.2500  0.01

Below is an optimized crystal structure of K2NaF, with properties calculated at the GGA-PBEsol level.

Results
E_form (uncorrected), kJ per mole of atoms: -122.6

Cell lengths 7.7910, 7.7910, 7.7910 Å; angles 92.90, 118.34, 118.34 degrees
Positions (direct):
K 0.1723 0.8750 0.5473
K 0.8277 0.3750 0.7027
K 0.6723 0.2973 0.1250
K 0.3277 0.4527 0.6250
F 0.5000 0.2500 0.7500
F 0.0000 0.5000 0.5000
Na 0.0000 0.0000 0.0000
Na 0.5000 0.7500 0.2500

Below is an optimized crystal structure of Tm3Sn, with properties calculated at the GGA-PBEsol level.

Results
DFT formation energy, eV per atom: -0.42

Cell lengths 5.4100, 6.5989, 6.5989 Å; angles 120.00, 90.00, 90.00 degrees
Positions (direct):
Tm 0.7500 0.3417 0.1709
Tm 0.2500 0.1709 0.8291
Tm 0.2500 0.6583 0.8291
Tm 0.7500 0.8291 0.6583
Tm 0.7500 0.8291 0.1709
Tm 0.2500 0.1709 0.3417
Sn 0.2500 0.6667 0.3333
Sn 0.7500 0.3333 0.6667

Below is an optimized crystal structure of K2CoIr, with properties calculated at the GGA-PBEsol level.

Results
DFT formation energy, eV per atom: 1.11
ΔE to the lowest computed polymorph, eV per atom: 0.545

Cell lengths 2.7364, 5.4281, 5.4630 Å; angles 90.00, 117.24, 90.00 degrees
Site moments in Bohr magnetons follow the coordinates.
Positions (direct):
K 0.0155 0.0000 0.7516  -0.03
K 0.9845 0.0000 0.2484  -0.03
Ir 0.5000 0.5000 0.5000  0.16
Co 0.5000 0.5000 0.0000  1.45

Below is an optimized crystal structure of La3HfBi, with properties calculated at the GGA-PBEsol level.

Results
DFT formation energy, eV per atom: 0.72
ΔE to the lowest computed polymorph, eV per atom: 0.480

Cell lengths 5.9707, 5.9707, 5.9707 Å; angles 90.00, 90.00, 90.00 degrees
Site moments in Bohr magnetons follow the coordinates.
Positions (direct):
La 0.5000 0.0000 0.0000  -0.15
La 0.0000 0.0000 0.5000  -0.15
La 0.0000 0.5000 0.0000  -0.15
Bi 0.0000 0.0000 0.0000  -0.02
Hf 0.5000 0.5000 0.5000  -0.89

Below is an optimized crystal structure of MnF3, with properties calculated at the GGA-PBEsol level.

Results
E_form (uncorrected), kJ per mole of atoms: -232.1

Cell lengths 5.3389, 5.3389, 5.3837 Å; angles 60.27, 60.27, 60.00 degrees
Site moments in Bohr magnetons follow the coordinates.
Positions (direct):
Mn 0.0000 0.0000 0.0000  3.71
Mn 0.5000 0.5000 0.5000  3.71
F 0.7942 0.2500 0.2500  0.06
F 0.7500 0.2942 0.7500  0.06
F 0.2058 0.7500 0.7500  0.06
F 0.7058 0.7942 0.2500  0.06
F 0.2942 0.2058 0.7500  0.06
F 0.2500 0.7058 0.2500  0.06

Below is an optimized crystal structure of TlCrAg2, with properties calculated at the GGA-PBEsol level.

Results
DFT formation energy, eV per atom: 0.44

Cell lengths 2.9836, 4.8554, 4.9991 Å; angles 90.00, 93.45, 90.00 degrees
Site moments in Bohr magnetons follow the coordinates.
Positions (direct):
Ag 0.7501 0.0000 0.7615  0.01
Ag 0.2499 0.0000 0.2385  0.01
Cr 0.5000 0.5000 0.0000  3.49
Tl 0.0000 0.5000 0.5000  -0.06

Below is an optimized crystal structure of SiSb2TeRh, with properties calculated at the GGA-PBEsol level.

Results
E_form (uncorrected), kJ per mole of atoms: 57.6

Cell lengths 4.9502, 4.9502, 5.4019 Å; angles 90.00, 90.00, 90.00 degrees
Positions (direct):
Sb 0.0000 0.5000 0.0000
Sb 0.5000 0.0000 0.0000
Te 0.0000 0.0000 0.5000
Rh 0.0000 0.0000 0.0000
Si 0.5000 0.5000 0.5000

Number 1: total magnetic moment 0.5 μB/cell. Number 2: total magnetic moment 0.0 μB/cell. Number 3: total magnetic moment 0.0 μB/cell. Number 4: total magnetic moment 1.4 μB/cell. Number 5: total magnetic moment 3.0 μB/cell. Number 6: total magnetic moment 8.0 μB/cell. Number 7: total magnetic moment 3.7 μB/cell. Number 8: total magnetic moment 0.0 μB/cell.